# ReMo

Crystalline ReMo at its relaxed geometry (PBE-GGA, Alexandria via LeMat-Bulk).

POSCAR file:
```
ReMo
1.0
-1.4581 1.0130 2.1658
-1.1676 -1.8780 -1.7184
4.6870 -10.1416 7.8992
Re Mo
3 3
Cartesian
2.3435 -5.0708 3.9496
-0.4833 -2.6046 0.8929
2.5445 -8.4020 7.4537
0.0000 0.0000 0.0000
1.8602 -7.6754 4.8425
0.2010 -3.3312 3.5041
```

Computed properties:
Space group ... R-3m, No. 166
Energy of formation from the pure elements ... 0.208 eV/atom
Offset from the most stable computed form ... 11.16 kJ per mole of atoms
Crystal system ... trigonal
E ... -0.8402 Ry/atom